VASP calculation (PBE-GGA) on a geometry-optimized TaGeSb2Te structure.

Properties
**Raw total energy**: -4.952 eV per atom
**Formation energy (no corrections)**: 0.620 eV/atom
**Size of the total moment**: 0.46 μB per cell
**Distance to the lowest polymorph of the same formula**: 0 meV/atom

```
TaGeSb2Te
1.0
-2.8846 -4.2667 -1.6529
3.9686 -3.3055 1.6067
-2.2358 -0.3493 4.8037
Te Sb Ta Ge
1 2 1 1
Direct
0.0000 0.0000 0.5000
0.5000 0.0000 0.0000
0.0000 0.5000 0.0000
0.0000 0.0000 0.0000
0.5000 0.5000 0.5000
```